## RbCuSnTe3 (PBE)

Data for an optimized crystal structure of RbCuSnTe3.

abc: 14.0970 4.5372 12.4338
angles: 90.00 90.00 90.00
Atoms (fractional coordinates):
Rb: 0.1549 0.2500 0.0032
Rb: 0.3451 0.7500 0.5032
Rb: 0.6549 0.2500 0.4968
Rb: 0.8451 0.7500 0.9968
Cu: 0.2381 0.7500 0.7887
Cu: 0.2619 0.2500 0.2887
Cu: 0.7381 0.7500 0.7113
Cu: 0.7619 0.2500 0.2113
Sn: 0.0167 0.7500 0.3517
Sn: 0.4833 0.2500 0.8517
Sn: 0.5167 0.7500 0.1483
Sn: 0.9833 0.2500 0.6483
Te: 0.0559 0.7500 0.7905
Te: 0.1257 0.2500 0.4755
Te: 0.1947 0.7500 0.2335
Te: 0.3053 0.2500 0.7335
Te: 0.3743 0.7500 0.9755
Te: 0.4441 0.2500 0.2905
Te: 0.5559 0.7500 0.7095
Te: 0.6257 0.2500 0.0245
Te: 0.6947 0.7500 0.2665
Te: 0.8053 0.2500 0.7665
Te: 0.8743 0.7500 0.5245
Te: 0.9441 0.2500 0.2095

Calculated values
The mass density comes out at 5.43 g cm⁻³. The energy above the most stable polymorph in this dataset is 0.020 eV/atom. The volume comes out at 795.3 Å³/cell.

---

## RbCuSnTe3 (PBE)

Data for an optimized crystal structure of RbCuSnTe3.

abc: 9.1142 9.1142 9.4816
angles: 93.69 93.69 30.41
Atoms (fractional coordinates):
Rb: 0.1493 0.1493 0.0874
Rb: 0.8507 0.8507 0.9126
Cu: 0.4914 0.4914 0.6515
Cu: 0.5086 0.5086 0.3485
Sn: 0.1662 0.1662 0.5877
Sn: 0.8338 0.8338 0.4123
Te: 0.0000 0.0000 0.5000
Te: 0.3384 0.3384 0.6315
Te: 0.3750 0.3750 0.2098
Te: 0.5000 0.5000 0.0000
Te: 0.6250 0.6250 0.7902
Te: 0.6616 0.6616 0.3685

Calculated values
The mass density comes out at 5.43 g cm⁻³. The energy above the most stable polymorph in this dataset is 0.067 eV/atom. The volume comes out at 397.8 Å³/cell.

---

## RbCuSnTe3 (PBE)

Data for an optimized crystal structure of RbCuSnTe3.

abc: 9.3812 4.3269 11.0200
angles: 90.00 112.41 90.00
Atoms (fractional coordinates):
Rb: 0.2403 0.2500 0.1990
Rb: 0.7597 0.7500 0.8010
Cu: 0.4372 0.2500 0.9270
Cu: 0.5628 0.7500 0.0730
Sn: 0.1837 0.7500 0.6461
Sn: 0.8163 0.2500 0.3539
Te: 0.0502 0.7500 0.3600
Te: 0.2696 0.7500 0.9349
Te: 0.4134 0.2500 0.6785
Te: 0.5866 0.7500 0.3215
Te: 0.7304 0.2500 0.0651
Te: 0.9498 0.2500 0.6400

Calculated values
The mass density comes out at 5.22 g cm⁻³. The energy above the most stable polymorph in this dataset is 0.009 eV/atom. The volume comes out at 413.5 Å³/cell.